Entry i
Below is a relaxed RbNaAg crystal, with properties calculated at the GGA-PBE level.

Structure (POSCAR):
```
RbNaAg
1.0
4.1589 0.0000 0.0000
0.0000 4.1589 0.0000
-2.0795 -2.0795 6.6804
Na Ag Rb
1 1 1
Cartesian
0.0000 0.0000 3.7758 Na
2.0795 2.0795 2.7024 Ag
0.0000 0.0000 0.2022 Rb
```

Properties
Magnetic moment: 0.0 Bohr magnetons per cell

Entry ii
Below is a relaxed RbNaAg crystal, with properties calculated at the GGA-PBE level.

Structure (POSCAR):
```
RbNaAg
1.0
5.0039 0.0000 0.0000
0.0000 6.8272 -0.2050
-2.5019 -1.7121 7.4054
Ag Na Rb
2 2 2
Cartesian
2.5019 -0.2312 4.0597 Ag
0.0000 5.3462 3.1408 Ag
2.5019 5.0179 1.2881 Na
0.0000 0.0972 5.9123 Na
2.5019 3.4121 5.2894 Rb
0.0000 1.7029 1.9110 Rb
```

Properties
Magnetic moment: 0.0 Bohr magnetons per cell

Most favorable first, least favorable last: entry ii, entry i

Entry i
Below is a relaxed RbNaAg crystal, with properties calculated at the GGA-PBE level.

Structure (POSCAR):
```
RbNaAg
1.0
4.9672 -0.0001 0.0002
-0.0002 7.4489 0.0048
0.0002 -1.6643 6.7033
Rb Na Ag
2 2 2
Cartesian
4.0334 6.1264 0.9837 Rb
1.5499 2.2098 0.1842 Rb
4.0335 2.0231 3.7023 Na
1.5499 4.6474 4.1669 Na
4.0337 -0.9070 4.4601 Ag
1.5496 0.1293 3.4067 Ag
```

Properties
Magnetic moment: 0.0 Bohr magnetons per cell

Entry ii
Below is a relaxed RbNaAg crystal, with properties calculated at the GGA-PBE level.

Structure (POSCAR):
```
RbNaAg
1.0
-1.5124 -1.9434 -4.2909
4.7482 1.0886 -2.1667
-0.8193 -4.6844 2.4104
Na Rb Ag
1 1 1
Cartesian
0.7844 -3.0840 0.1694 Na
1.8840 -2.1313 -3.5016 Rb
-0.2520 -0.3238 -0.7150 Ag
```

Properties
Magnetic moment: 0.0 Bohr magnetons per cell

Most favorable first, least favorable last: entry i, entry ii

Entry i
Below is a relaxed RbNa3Ag crystal, with properties calculated at the GGA-PBE level.

Structure (POSCAR):
```
RbNa3Ag
1.0
-6.7288 -2.7122 2.3407
3.1788 -6.9610 7.4934
-0.1358 3.5232 10.1133
Rb Na Ag
4 12 4
Cartesian
1.3330 -7.1218 8.2078 Rb
-5.0189 0.9717 11.7396 Rb
-0.6238 -0.9323 9.7546 Rb
-3.0621 -5.2178 10.1928 Rb
-2.0532 -2.6269 16.1979 Na
-6.1231 -1.3177 5.8099 Na
-1.6327 -3.5232 3.7495 Na
2.4372 -4.8324 14.1375 Na
-5.0197 -4.9034 4.8297 Na
-0.8831 -6.2324 15.3810 Na
1.3338 -1.2467 15.1177 Na
-2.8027 0.0823 4.5664 Na
-0.6731 -3.4351 12.9006 Na
0.3508 -1.3562 5.8771 Na
-3.0128 -2.7150 7.0468 Na
-4.0367 -4.7939 14.0703 Na
-3.5258 -2.1998 12.3093 Ag
-4.6074 -1.8808 9.6645 Ag
-0.1600 -3.9503 7.6381 Ag
0.9216 -4.2693 10.2829 Ag
```

Properties
Magnetic moment: 0.0 Bohr magnetons per cell

Entry ii
Below is a relaxed RbNa3Ag crystal, with properties calculated at the GGA-PBE level.

Structure (POSCAR):
```
RbNa3Ag
1.0
-0.4915 -5.7531 1.4216
3.9300 0.7513 4.3990
-4.4355 1.3031 3.7401
Na Rb Ag
3 1 1
Cartesian
1.9650 0.3756 2.1995 Na
-2.2178 0.6516 1.8701 Na
-0.2457 -2.8766 0.7108 Na
-0.4985 -1.8494 4.7804 Rb
0.0000 0.0000 0.0000 Ag
```

Properties
Magnetic moment: 0.0 Bohr magnetons per cell

Entry iii
Below is a relaxed RbNa3Ag crystal, with properties calculated at the GGA-PBE level.

Structure (POSCAR):
```
RbNa3Ag
1.0
6.5756 0.0000 0.0000
0.0000 6.5756 0.0000
0.0000 0.0000 6.5756
Na Rb Ag
3 1 1
Cartesian
0.0000 3.2878 0.0000 Na
0.0000 0.0000 3.2878 Na
3.2878 0.0000 0.0000 Na
0.0000 0.0000 0.0000 Rb
3.2878 3.2878 3.2878 Ag
```

Properties
Magnetic moment: 0.0 Bohr magnetons per cell

Most favorable first, least favorable last: entry i, entry ii, entry iii